Entry 1:
# LiAlSn

A geometry-optimized LiAlSn structure (PBE, the Alexandria database).

Unit cell a=7.340 b=4.285 c=8.289 alpha=90.00 beta=90.00 gamma=90.00
Space group Pnma (No. 62)
Unique sites:
Li  0.038  0.250  0.176
Al  0.134  0.250  0.571
Sn  0.248  0.750  0.388

Summary:
ρ = 3.89 g cm⁻³
DFT total energy = -40.21 eV for the cell shown
Magnetization = 0.00 μB per formula unit
Energy relative to the elements = -0.131 eV/atom



Entry 2:
# LiAlSn

A geometry-optimized LiAlSn structure (PBE, the Alexandria database).

Unit cell a=4.472 b=9.319 c=5.625 alpha=90.00 beta=90.00 gamma=90.00
Space group Cmcm (No. 63)
Unique sites:
Li  0.000  0.116  0.250
Al  0.000  0.500  0.000
Sn  0.000  0.188  0.750

Summary:
ρ = 4.33 g cm⁻³
DFT total energy = -39.57 eV for the cell shown
Magnetization = 0.00 μB per formula unit
Energy relative to the elements = -0.078 eV/atom



Entry 3:
# LiAlSn

A geometry-optimized LiAlSn structure (PBE, the Alexandria database).

Unit cell a=4.094 b=13.454 c=4.394 alpha=90.00 beta=90.00 gamma=90.00
Space group Cmcm (No. 63)
Unique sites:
Li  0.000  0.084  0.250
Al  0.000  0.254  0.750
Sn  0.000  0.399  0.250

Summary:
ρ = 4.19 g cm⁻³
DFT total energy = -40.16 eV for the cell shown
Magnetization = 0.00 μB per formula unit
Energy relative to the elements = -0.127 eV/atom



Entry 4:
# LiAlSn

A geometry-optimized LiAlSn structure (PBE, the Alexandria database).

Unit cell a=3.034 b=4.130 c=9.732 alpha=90.00 beta=98.93 gamma=90.00
Space group P2_1/m (No. 11)
Unique sites:
Li  0.134  0.250  0.275
Al  0.283  0.250  0.564
Sn  0.442  0.250  0.878

Summary:
ρ = 4.21 g cm⁻³
DFT total energy = -19.95 eV for the cell shown
Magnetization = 0.00 μB per formula unit
Energy relative to the elements = -0.105 eV/atom



Entry 5:
# Li5AlSn6

A geometry-optimized Li5AlSn6 structure (PBE, the Alexandria database).

Unit cell a=15.795 b=6.812 c=4.960 alpha=90.00 beta=107.96 gamma=90.00
Space group C2/m (No. 12)
Unique sites:
Li  0.000  0.000  0.000
Li  0.163  0.000  0.663
Li  0.168  0.500  0.668
Al  0.000  0.500  0.000
Sn  0.000  0.257  0.500
Sn  0.169  0.259  0.169

Summary:
ρ = 5.06 g cm⁻³
DFT total energy = -80.14 eV for the cell shown
Magnetization = 0.00 μB per formula unit
Energy relative to the elements = -0.228 eV/atom



Entry 6:
# Li2Al2Sn

A geometry-optimized Li2Al2Sn structure (PBE, the Alexandria database).

Unit cell a=3.922 b=3.922 c=13.184 alpha=90.00 beta=90.00 gamma=90.00
Space group I4/mmm (No. 139)
Unique sites:
Li  0.000  0.500  0.250
Al  0.000  0.000  0.097
Sn  0.000  0.000  0.500

Summary:
ρ = 3.06 g cm⁻³
DFT total energy = -30.30 eV for the cell shown
Magnetization = 0.00 μB per formula unit
Energy above the lowest structure with this stoichiometry = 98 meV/atom
Energy relative to the elements = 0.033 eV/atom



Entry 7:
# LiAlSn

A geometry-optimized LiAlSn structure (PBE, the Alexandria database).

Unit cell a=4.594 b=5.560 c=5.856 alpha=64.69 beta=74.53 gamma=69.32
Space group P-1 (No. 2)
Unique sites:
Li  0.059  0.229  0.209
Al  0.381  0.625  0.165
Sn  0.263  0.188  0.669

Summary:
ρ = 4.05 g cm⁻³
DFT total energy = -19.99 eV for the cell shown
Magnetization = 0.00 μB per formula unit
Energy relative to the elements = -0.112 eV/atom



Entry 8:
# LiAlSn

A geometry-optimized LiAlSn structure (PBE, the Alexandria database).

Unit cell a=3.213 b=4.993 c=7.871 alpha=103.99 beta=100.98 gamma=90.26
Space group P-1 (No. 2)
Unique sites:
Li  0.077  0.326  0.154
Al  0.253  0.724  0.502
Sn  0.405  0.160  0.808

Summary:
ρ = 4.22 g cm⁻³
DFT total energy = -20.19 eV for the cell shown
Magnetization = 0.00 μB per formula unit
Energy relative to the elements = -0.145 eV/atom



Entry 9:
# LiAlSn

A geometry-optimized LiAlSn structure (PBE, the Alexandria database).

Unit cell a=4.6122 b=4.6122 c=10.5065 alpha=90.00 beta=90.00 gamma=120.00
Space group P6_3/mmc (No. 194)
Unique sites:
Li  0.3333  0.6667  0.2500
Al  0.0000  0.0000  0.2500
Sn  0.0000  0.0000  0.0000

Summary:
ρ = 2.62 g cm⁻³
DFT total energy = -15.48 eV for the cell shown
Magnetization = 0.00 μB per formula unit
Energy relative to the elements = 0.641 eV/atom



Entry 10:
# Li2Al2Sn

A geometry-optimized Li2Al2Sn structure (PBE, the Alexandria database).

Unit cell a=7.788 b=7.788 c=3.080 alpha=90.00 beta=90.00 gamma=90.00
Space group P4/mbm (No. 127)
Unique sites:
Li  0.177  0.323  0.000
Al  0.121  0.621  0.500
Sn  0.000  0.000  0.500

Summary:
ρ = 3.32 g cm⁻³
DFT total energy = -31.27 eV for the cell shown
Magnetization = 0.00 μB per formula unit
Energy above the lowest structure with this stoichiometry = 0 meV/atom
Energy relative to the elements = -0.064 eV/atom



Entry 11:
# LiAlSn

A geometry-optimized LiAlSn structure (PBE, the Alexandria database).

Unit cell a=5.397 b=5.397 c=8.659 alpha=90.00 beta=90.00 gamma=90.00
Space group P4_122 (No. 91)
Unique sites:
Li  0.000  0.212  0.000
Al  0.306  0.306  0.375
Sn  0.167  0.500  0.750

Summary:
ρ = 4.02 g cm⁻³
DFT total energy = -38.03 eV for the cell shown
Magnetization = 0.00 μB per formula unit
Energy relative to the elements = 0.051 eV/atom



Entry 12:
# Li4Al2Sn

A geometry-optimized Li4Al2Sn structure (PBE, the Alexandria database).

Unit cell a=5.015 b=5.015 c=13.771 alpha=90.00 beta=90.00 gamma=90.00
Space group I4/mmm (No. 139)
Unique sites:
Li  0.000  0.000  0.201
Li  0.000  0.500  0.000
Al  0.000  0.000  0.402
Sn  0.000  0.000  0.000

Summary:
ρ = 1.92 g cm⁻³
DFT total energy = -35.69 eV for the cell shown
Magnetization = 0.00 μB per formula unit
Energy relative to the elements = 0.185 eV/atom